{
  "formula": "BaFe2Ni",
  "functional": "PBE",
  "state": "relaxed",
  "energy_ev_per_atom": -5.23,
  "m_tot_mub_per_fu": 5.97,
  "e_form_ev_per_atom": 0.929,
  "density_g_cm3": 6.87,
  "cell": [[3.950, 0.000, 0.000], [0.000, 3.950, 0.000], [0.000, 0.000, 9.534]],
  "species": ["Ba", "Ba", "Fe", "Fe", "Fe", "Fe", "Ni", "Ni"],
  "frac_coords": [[0.000, 0.000, 0.000], [0.500, 0.500, 0.500], [0.000, 0.500, 0.250], [0.000, 0.500, 0.750], [0.500, 0.000, 0.250], [0.500, 0.000, 0.750], [0.000, 0.000, 0.500], [0.500, 0.500, 0.000]]
}